The following is a PBE calculation of an optimized crystal structure of VCo4NiS8, from Alexandria via LeMat-Bulk.

E_tot: -5.97 eV/atom
mass density: 4.771 g/cm³
magnetization: 1.9 μB/f.u.

```
data_VCo4NiS8
_chemical_formula_sum 'V3 Co12 Ni3 S24'
_symmetry_space_group_name_H-M 'R 3 m'
_symmetry_Int_Tables_number 160
_symmetry_space_group_name_Hall 'R 3 -2"'
_cell_length_a 6.7958
_cell_length_b 6.7958
_cell_length_c 15.7135
_cell_angle_alpha 90.00
_cell_angle_beta 90.00
_cell_angle_gamma 120.00
loop_
_atom_site_label
_atom_site_type_symbol
_atom_site_fract_x
_atom_site_fract_y
_atom_site_fract_z
V1 V 0.0000 0.0000 0.0000
Co1 Co 0.0000 0.0000 0.5922
Co2 Co 0.1696 0.3393 0.8020
Ni1 Ni 0.0000 0.0000 0.3460
S1 S 0.0000 0.0000 0.2110
S2 S 0.0000 0.0000 0.7291
S3 S 0.9996 0.4998 0.7305
S4 S 0.1817 0.3635 0.5536
```


The following is a PBE calculation of an optimized crystal structure of CoNi2Sb8, from Alexandria via LeMat-Bulk.

E_tot: -4.63 eV/atom
mass density: 7.033 g/cm³
magnetization: 0.0 μB/f.u.
E above lowest polymorph: 0.68 eV per formula unit

```
data_CoNi2Sb8
_chemical_formula_sum 'Co2 Ni4 Sb16'
_symmetry_space_group_name_H-M 'C 1 2/m 1'
_symmetry_Int_Tables_number 12
_symmetry_space_group_name_Hall '-C 2y'
_cell_length_a 13.665
_cell_length_b 8.027
_cell_length_c 4.956
_cell_angle_alpha 90.00
_cell_angle_beta 92.10
_cell_angle_gamma 90.00
loop_
_atom_site_label
_atom_site_type_symbol
_atom_site_fract_x
_atom_site_fract_y
_atom_site_fract_z
Co1 Co 0.000 0.000 0.000
Ni1 Ni 0.178 0.000 0.244
Sb1 Sb 0.073 0.258 0.260
Sb2 Sb 0.143 0.500 0.830
Sb3 Sb 0.157 0.000 0.741
```


The following is a PBE calculation of an optimized crystal structure of CoNi12Sb3, from Alexandria via LeMat-Bulk.

E_tot: -5.64 eV/atom
mass density: 9.385 g/cm³
magnetization: 3.6 μB/f.u.

```
data_CoNi12Sb3
_chemical_formula_sum 'Co1 Ni12 Sb3'
_symmetry_space_group_name_H-M 'P 4/m m m'
_symmetry_Int_Tables_number 123
_symmetry_space_group_name_Hall '-P 4 2'
_cell_length_a 3.698
_cell_length_b 3.698
_cell_length_c 14.600
_cell_angle_alpha 90.00
_cell_angle_beta 90.00
_cell_angle_gamma 90.00
loop_
_atom_site_label
_atom_site_type_symbol
_atom_site_fract_x
_atom_site_fract_y
_atom_site_fract_z
Co1 Co 0.000 0.000 0.000
Ni1 Ni 0.000 0.500 0.113
Ni2 Ni 0.000 0.500 0.372
Ni3 Ni 0.500 0.500 0.000
Ni4 Ni 0.500 0.500 0.246
Ni5 Ni 0.500 0.500 0.500
Sb1 Sb 0.000 0.000 0.240
Sb2 Sb 0.000 0.000 0.500
```


The following is a PBE calculation of an optimized crystal structure of CoNiSb4, from Alexandria via LeMat-Bulk.

E_tot: -5.01 eV/atom
mass density: 8.080 g/cm³
magnetization: 0.0 μB/f.u.
E above lowest polymorph: 0.00 eV per formula unit

```
data_CoNiSb4
_chemical_formula_sum 'Co2 Ni2 Sb8'
_symmetry_space_group_name_H-M 'P 1 21/c 1'
_symmetry_Int_Tables_number 14
_symmetry_space_group_name_Hall '-P 2ybc'
_cell_length_a 6.280
_cell_length_b 6.297
_cell_length_c 6.287
_cell_angle_alpha 90.00
_cell_angle_beta 91.66
_cell_angle_gamma 90.00
loop_
_atom_site_label
_atom_site_type_symbol
_atom_site_fract_x
_atom_site_fract_y
_atom_site_fract_z
Co1 Co 0.000 0.000 0.000
Ni1 Ni 0.500 0.000 0.500
Sb1 Sb 0.127 0.135 0.640
Sb2 Sb 0.364 0.633 0.625
```


The following is a PBE calculation of an optimized crystal structure of CoNi2Sb6, from Alexandria via LeMat-Bulk.

E_tot: -4.98 eV/atom
mass density: 7.894 g/cm³
magnetization: 0.0 μB/f.u.

```
data_CoNi2Sb6
_chemical_formula_sum 'Co1 Ni2 Sb6'
_symmetry_space_group_name_H-M 'P -3 1 m'
_symmetry_Int_Tables_number 162
_symmetry_space_group_name_Hall '-P 3 2'
_cell_length_a 6.5882
_cell_length_b 6.5882
_cell_length_c 5.0749
_cell_angle_alpha 90.00
_cell_angle_beta 90.00
_cell_angle_gamma 120.00
loop_
_atom_site_label
_atom_site_type_symbol
_atom_site_fract_x
_atom_site_fract_y
_atom_site_fract_z
Co1 Co 0.0000 0.0000 0.0000
Ni1 Ni 0.3333 0.6667 0.5000
Sb1 Sb 0.0000 0.3423 0.7623
```


The following is a PBE calculation of an optimized crystal structure of CoNiSb4, from Alexandria via LeMat-Bulk.

E_tot: -3.80 eV/atom
mass density: 6.474 g/cm³
magnetization: 2.8 μB/f.u.
E above lowest polymorph: 7.26 eV per formula unit

```
data_CoNiSb4
_chemical_formula_sum 'Co4 Ni4 Sb16'
_symmetry_space_group_name_H-M 'F -4 3 m'
_symmetry_Int_Tables_number 216
_symmetry_space_group_name_Hall 'F -4 2 3'
_cell_length_a 8.529
_cell_length_b 8.529
_cell_length_c 8.529
_cell_angle_alpha 90.00
_cell_angle_beta 90.00
_cell_angle_gamma 90.00
loop_
_atom_site_label
_atom_site_type_symbol
_atom_site_fract_x
_atom_site_fract_y
_atom_site_fract_z
Co1 Co 0.000 0.000 0.000
Ni1 Ni 0.250 0.250 0.750
Sb1 Sb 0.125 0.125 0.375
```